1.
InCu2SiRu: relaxed, PBE-GGA.

a b c (Å): 4.6582 4.6582 5.0310
angles (deg): 90.00 90.00 90.00
Last column: nearest neighbours and their distance in Å.
Atoms (fractional coordinates):
In1 0.0000 0.0000 0.0000  4 Cu 2.33, 2 Ru 2.52
Cu1 0.0000 0.5000 0.0000  2 In 2.33
Cu2 0.5000 0.0000 0.0000  2 In 2.33
Si1 0.5000 0.5000 0.5000  4 Ru 3.29, 8 Cu 3.43
Ru1 0.0000 0.0000 0.5000  2 In 2.52

Calculated values
* M_tot: 1.5 μB/cell
* energy relative to the elements, uncorrected: 7.29 eV/f.u.

---

2.
BaAc4Pb4: relaxed, PBE-GGA.

a b c (Å): 11.0957 11.0957 6.8000
angles (deg): 90.00 90.00 90.00
Last column: nearest neighbours and their distance in Å.
Atoms (fractional coordinates):
Ba1 0.2500 0.2500 0.2500  4 Pb 3.78
Ba2 0.7500 0.7500 0.7500  4 Pb 3.78
Ac1 0.1034 0.6396 0.1460  5 Pb 3.42-3.54
Ac2 0.1396 0.8966 0.6460  5 Pb 3.42-3.54
Ac3 0.3604 0.6034 0.6460  5 Pb 3.42-3.54
Ac4 0.3966 0.8604 0.1460  5 Pb 3.42-3.54
Ac5 0.6034 0.1396 0.8540  5 Pb 3.42-3.54
Ac6 0.6396 0.3966 0.3540  5 Pb 3.42-3.54
Ac7 0.8604 0.1034 0.3540  5 Pb 3.42-3.54
Ac8 0.8966 0.3604 0.8540  5 Pb 3.42-3.54
Pb1 0.0491 0.5984 0.6552  1 Pb 3.23, 5 Ac 3.42-3.54
Pb2 0.0984 0.9509 0.1552  1 Pb 3.23, 5 Ac 3.42-3.54
Pb3 0.4016 0.5491 0.1552  1 Pb 3.23, 5 Ac 3.42-3.54
Pb4 0.4509 0.9016 0.6552  1 Pb 3.23, 5 Ac 3.42-3.54
Pb5 0.5491 0.0984 0.3448  1 Pb 3.23, 5 Ac 3.42-3.54
Pb6 0.5984 0.4509 0.8448  1 Pb 3.23, 5 Ac 3.42-3.54
Pb7 0.9016 0.0491 0.8448  1 Pb 3.23, 5 Ac 3.42-3.54
Pb8 0.9509 0.4016 0.3448  1 Pb 3.23, 5 Ac 3.42-3.54

Calculated values
* M_tot: 0.0 μB/cell
* formation energy from the elements: -3.10 eV per formula unit

---

3.
SrTaPb2: relaxed, PBE-GGA.

a b c (Å): 3.4793 3.4793 8.7770
angles (deg): 90.00 90.00 90.00
Last column: nearest neighbours and their distance in Å.
Atoms (fractional coordinates):
Sr1 0.0000 0.0000 0.0000  4 Sr 3.48, 8 Pb 3.51
Ta1 0.0000 0.0000 0.5000  8 Pb 3.10
Pb1 0.5000 0.5000 0.2858  4 Ta 3.10
Pb2 0.5000 0.5000 0.7142  4 Ta 3.10

Calculated values
* M_tot: 0.4 μB/cell
* formation energy from the elements: 0.89 eV per formula unit